1.
DFT (PBE-GGA) results for a relaxed structure of Rb2PuGaI6. Values from VASP.

Quantum ESPRESSO input file:
```
&SYSTEM
  ibrav = 0, nat = 20, ntyp = 4
/
ATOMIC_SPECIES
Rb 85.47 Rb.upf
Pu 244.00 Pu.upf
Ga 69.72 Ga.upf
I 126.90 I.upf
CELL_PARAMETERS angstrom
8.413 0.000 -0.006
0.000 8.988 0.000
0.067 0.000 12.268
ATOMIC_POSITIONS angstrom
Rb 0.275 8.237 3.073
Rb 4.515 5.245 9.204
Rb 8.204 0.751 9.190
Rb 3.964 3.743 3.059
Pu 4.240 0.000 6.131
Pu 0.000 4.494 0.000
Ga 4.206 0.000 -0.003
Ga 0.033 4.494 6.134
I 2.539 6.197 0.594
I 6.778 7.285 6.726
I 5.941 2.791 11.668
I 1.701 1.703 5.537
I 2.712 6.334 5.522
I 6.952 7.147 11.653
I 5.768 2.654 6.740
I 1.528 1.840 0.609
I 7.588 4.657 2.982
I 3.415 8.824 9.119
I 0.891 4.330 9.280
I 5.064 0.163 3.143
```

- D(E_F): 26.45 states/eV/cell
- Symmetry: P2_1/c, No. 14
- Raw formation energy: -1.107 eV/atom
- DFT total energy: -79.333 eV/cell
- Density: 4.5 g/cm3
- Size of the total moment: 5.0 μB per formula unit

2.
DFT (PBE-GGA) results for a relaxed structure of BeAg2Hg. Values from VASP.

Quantum ESPRESSO input file:
```
&SYSTEM
  ibrav = 0, nat = 4, ntyp = 3
/
ATOMIC_SPECIES
Be 9.01 Be.upf
Hg 200.59 Hg.upf
Ag 107.87 Ag.upf
CELL_PARAMETERS angstrom
-3.731 2.412 -1.326
-1.893 -4.199 0.527
-0.657 0.684 3.092
ATOMIC_POSITIONS angstrom
Be -2.194 1.548 0.883
Hg -1.275 -1.758 1.810
Ag 0.000 0.000 0.000
Ag -2.812 -0.893 -0.399
```

- ΔE_f: 0.34 eV/atom
- D(E_F): 0.91 states/eV/cell
- Symmetry: Cmmm, No. 65
- DFT total energy: -8.383 eV/cell
- Density: 10.3 g/cm3
- Size of the total moment: 0.0 μB per formula unit

3.
DFT (PBE-GGA) results for a relaxed structure of YMoPb2. Values from VASP.

Quantum ESPRESSO input file:
```
&SYSTEM
  ibrav = 0, nat = 4, ntyp = 3
/
ATOMIC_SPECIES
Mo 95.94 Mo.upf
Pb 207.20 Pb.upf
Y 88.91 Y.upf
CELL_PARAMETERS angstrom
-3.493 3.048 -3.429
-4.462 -3.263 -1.639
2.535 2.151 4.711
ATOMIC_POSITIONS angstrom
Mo -2.952 -0.610 0.269
Pb -0.148 -0.004 -0.094
Pb -3.830 -0.104 -2.440
Y -2.467 2.546 -0.626
```

- ΔE_f: 0.20 eV/atom
- D(E_F): 2.83 states/eV/cell
- Symmetry: Immm, No. 71
- DFT total energy: -23.907 eV/cell
- Density: 10.2 g/cm3
- Size of the total moment: 0.0 μB per formula unit

4.
DFT (PBE-GGA) results for a relaxed structure of KLiTi3. Values from VASP.

Quantum ESPRESSO input file:
```
&SYSTEM
  ibrav = 0, nat = 5, ntyp = 3
/
ATOMIC_SPECIES
K 39.10 K.upf
Li 6.94 Li.upf
Ti 47.87 Ti.upf
CELL_PARAMETERS angstrom
-1.344 -1.732 4.329
-3.646 -2.418 -2.099
2.907 -3.834 -0.632
ATOMIC_POSITIONS angstrom
K -1.041 -3.992 0.799
Li 0.000 0.000 0.000
Ti -1.823 -1.209 -1.050
Ti 1.453 -1.917 -0.316
Ti -0.672 -0.866 2.164
```

- ΔE_f: 1.33 eV/atom
- D(E_F): 7.43 states/eV/cell
- Symmetry: Pm-3m, No. 221
- DFT total energy: -20.026 eV/cell
- Density: 2.8 g/cm3
- Size of the total moment: 2.8 μB per formula unit

- Number 2 is which compound?
  BeAg2Hg

- Look up the density of the fourth one.
  2.8 g/cm3

- Among the records above, which one has the highest size of the total moment?
  Rb2PuGaI6

- size of the total moment of number 1 (Rb2PuGaI6)?
  5.0 μB per formula unit